1.
First-principles (PBE) data for a relaxed structure of NbIrPt2O, as listed in Alexandria.

Structure (CIF):
```
data_NbIrPt2O
_chemical_formula_sum 'Nb1 Ir1 Pt2 O1'
_cell_length_a 5.077
_cell_length_b 5.077
_cell_length_c 3.521
_cell_angle_alpha 90.00
_cell_angle_beta 90.00
_cell_angle_gamma 90.00
_symmetry_space_group_name_H-M 'P 4/m m m'
_symmetry_Int_Tables_number 123
_symmetry_space_group_name_Hall '-P 4 2'
loop_
_atom_site_label
_atom_site_fract_x
_atom_site_fract_y
_atom_site_fract_z
Nb1 0.000 0.000 0.000
Ir1 0.500 0.500 0.500
Pt1 0.000 0.500 0.500
O1 0.500 0.500 0.000
```

Computed properties:
D(E_F) ... 6.0 states/eV/cell
Volume ... 18.155 A^3/atom
Theoretical density ... 12.646 g/cm³
E_form (uncorrected) ... 495 meV per atom
Final energy ... -6.6987 eV per atom

***

2.
First-principles (PBE) data for a relaxed structure of DyPdPtPb, as listed in Alexandria.

Structure (CIF):
```
data_DyPdPtPb
_chemical_formula_sum 'Dy4 Pd4 Pt4 Pb4'
_cell_length_a 6.905
_cell_length_b 6.905
_cell_length_c 6.905
_cell_angle_alpha 90.00
_cell_angle_beta 90.00
_cell_angle_gamma 90.00
_symmetry_space_group_name_H-M 'F -4 3 m'
_symmetry_Int_Tables_number 216
_symmetry_space_group_name_Hall 'F -4 2 3'
loop_
_atom_site_label
_atom_site_fract_x
_atom_site_fract_y
_atom_site_fract_z
Dy1 0.000 0.000 0.000
Pd1 0.250 0.250 0.250
Pt1 0.250 0.250 0.750
Pb1 0.000 0.000 0.500
```

Computed properties:
D(E_F) ... 6.0 states/eV/cell
Volume ... 20.573 A^3/atom
Theoretical density ... 13.544 g/cm³
Formation energy ... -0.733 eV per atom
Final energy ... -5.6195 eV per atom